Entry 1:
Computed, not measured: an optimized crystal structure of Ca2PaSi3Pt4 at the PBE-GGA level of DFT.

Cell: 4.2727 4.2727 10.8509 Å, 90.00 90.00 90.00°
Sites, in units of the cell vectors:
Pt (0.0000, 0.5000, 0.3347)
Pt (0.5000, 0.5000, 0.0000)
Pt (0.5000, 0.0000, 0.6653)
Pt (0.0000, 0.0000, 0.0000)
Si (0.0000, 0.5000, 0.1149)
Si (0.0000, 0.0000, 0.5000)
Si (0.5000, 0.0000, 0.8851)
Pa (0.5000, 0.5000, 0.5000)
Ca (0.0000, 0.5000, 0.7739)
Ca (0.5000, 0.0000, 0.2261)

The value obtained for the uncorrected formation energy is -844.9 kJ/mol of formula units. The value obtained for the magnetization is 0.000 μB per cell.

***

Entry 2:
Computed, not measured: an optimized crystal structure of CaPaZnPt at the PBE-GGA level of DFT.

Cell: 4.9923 4.9923 4.9923 Å, 60.00 60.00 60.00°
Sites, in units of the cell vectors:
Ca (0.5000, 0.5000, 0.5000)
Zn (0.7500, 0.7500, 0.7500)
Pt (0.2500, 0.2500, 0.2500)
Pa (0.0000, 0.0000, 0.0000)

Its formation energy is -0.385 eV per atom. The value obtained for the magnetization is 0.000 μB per cell.